A relaxed Tb2Sm3Tm2 crystal, computed with PBE.

a b c (Å): 3.568 6.171 10.711
angles (deg): 95.69 90.03 106.68
Space group P-1 (No. 2)
Unique sites:
Tb1 0.215 0.430 0.358 x2
Sm1 0.357 0.715 0.929 x2
Sm2 0.500 0.000 0.500 x1
Tm1 0.071 0.144 0.785 x2

* excess energy over the best structure of this formula in the dataset: 0 meV/atom
* DFT formation energy: 17 meV/atom

=====

A relaxed BaOsIO6 crystal, computed with PBE.

a b c (Å): 5.4874 5.4874 5.7323
angles (deg): 90.00 90.00 120.00
Space group P312 (No. 149)
Unique sites:
Ba1 0.0000 0.0000 0.0000 x1
Os1 0.3333 0.6667 0.5000 x1
I1 0.6667 0.3333 0.5000 x1
O1 0.0132 0.3841 0.6912 x6

* raw formation energy: -1.154 eV per atom

=====

A relaxed AcLa2Pr3N6 crystal, computed with PBE.

a b c (Å): 6.491 11.247 6.501
angles (deg): 90.00 109.40 90.00
Space group C2/m (No. 12)
Unique sites:
Ac1 0.000 0.000 0.000 x2
La1 0.000 0.334 0.000 x4
Pr1 0.000 0.169 0.500 x4
Pr2 0.000 0.500 0.500 x2
N1 0.244 0.500 0.253 x4
N2 0.245 0.330 0.745 x8

* raw formation energy: -1.249 eV per atom

=====

A relaxed K3Bi2O4F2 crystal, computed with PBE.

a b c (Å): 4.448 4.448 21.061
angles (deg): 90.00 90.00 90.00
Space group I4/mmm (No. 139)
Unique sites:
K1 0.000 0.000 0.000 x2
K2 0.000 0.000 0.179 x4
Bi1 0.000 0.000 0.411 x4
O1 0.000 0.500 0.091 x8
F1 0.000 0.000 0.306 x4

* raw formation energy: -1.664 eV per atom

=====

A relaxed Sr2ErZn3Pt4 crystal, computed with PBE.

a b c (Å): 4.330 4.330 11.419
angles (deg): 90.00 90.00 90.00
Space group P-4m2 (No. 115)
Unique sites:
Sr1 0.000 0.500 0.224 x2
Er1 0.000 0.000 0.500 x1
Zn1 0.000 0.500 0.877 x2
Zn2 0.500 0.500 0.500 x1
Pt1 0.000 0.000 0.000 x1
Pt2 0.000 0.500 0.651 x2
Pt3 0.500 0.500 0.000 x1

* DFT formation energy: -774 meV/atom

=====

A relaxed Er4ScAl5 crystal, computed with PBE.

a b c (Å): 3.510 3.510 17.843
angles (deg): 90.00 90.00 90.00
Space group P4/mmm (No. 123)
Unique sites:
Er1 0.000 0.000 0.103 x2
Er2 0.000 0.000 0.308 x2
Sc1 0.000 0.000 0.500 x1
Al1 0.500 0.500 0.000 x1
Al2 0.500 0.500 0.206 x2
Al3 0.500 0.500 0.412 x2

* DFT formation energy: -402 meV/atom

=====

A relaxed FeCoNiPd crystal, computed with PBE.

a b c (Å): 5.854 5.854 5.854
angles (deg): 90.00 90.00 90.00
Space group F-43m (No. 216)
Unique sites:
Fe1 0.000 0.000 0.000 x4
Co1 0.250 0.250 0.250 x4
Ni1 0.250 0.250 0.750 x4
Pd1 0.000 0.000 0.500 x4

* DFT formation energy: 78 meV/atom

=====

A relaxed La3Nd4Mg crystal, computed with PBE.

a b c (Å): 3.576 11.974 13.180
angles (deg): 90.00 90.00 90.00
Space group Immm (No. 71)
Unique sites:
La1 0.000 0.000 0.000 x2
La2 0.000 0.500 0.235 x4
Nd1 0.000 0.249 0.368 x8
Mg1 0.000 0.000 0.500 x2

* excess energy over the best structure of this formula in the dataset: 68 meV/atom
* DFT formation energy: 73 meV/atom

=====

Total moment
In order: 0.00, 1.00, 0.00, 0.00, 0.00, 0.00, 5.46, 0.00
Unit: μB per formula unit